1.
# AsOsPdO2 | the Alexandria database | PBE | optimized geometry
# ΔE_f (raw)	-0.42	eV/atom
# size of the total moment	0.0	μB/f.u.
# total energy	-6.61	eV/atom
data_AsOsPdO2
_chemical_formula_sum 'As1 Os1 Pd1 O2'
_cell_length_a 3.706
_cell_length_b 3.706
_cell_length_c 5.641
_cell_angle_alpha 90.00
_cell_angle_beta 90.00
_cell_angle_gamma 90.00
_space_group_name_H-M_alt 'P 4/m m m'
_space_group_IT_number 123
_space_group_name_Hall '-P 4 2'
loop_
_atom_site_label
_atom_site_fract_x
_atom_site_fract_y
_atom_site_fract_z
_atom_site_occupancy
As1 0.000 0.000 0.000 1
Os1 0.000 0.000 0.500 1
Pd1 0.500 0.500 0.000 1
O1 0.000 0.500 0.500 1

2.
# Ac4InGe2 | the Alexandria database | PBE | optimized geometry
# size of the total moment	0.0	μB/f.u.
# total energy	-4.50	eV/atom
# formation enthalpy at 0 K	-0.44	eV/atom
data_Ac4InGe2
_chemical_formula_sum 'Ac32 In8 Ge16'
_cell_length_a 10.340
_cell_length_b 14.465
_cell_length_c 14.567
_cell_angle_alpha 90.00
_cell_angle_beta 90.00
_cell_angle_gamma 90.00
_space_group_name_H-M_alt 'F d d d'
_space_group_IT_number 70
loop_
_space_group_symop_operation_xyz
'x,y,z'
'-x,-y,-z'
'-x+1/4,-y+1/4,z'
'x+1/4,y+1/4,-z'
'x,-y+1/4,-z+1/4'
'-x,y+1/4,z+1/4'
'-x+1/4,y,-z+1/4'
'x+1/4,-y,z+1/4'
'x,y+1/2,z+1/2'
'-x,-y+1/2,-z+1/2'
'-x+1/4,-y+3/4,z+1/2'
'x+1/4,y+3/4,-z+1/2'
'x,-y+3/4,-z+3/4'
'-x,y+3/4,z+3/4'
'-x+1/4,y+1/2,-z+3/4'
'x+1/4,-y+1/2,z+3/4'
'x+1/2,y,z+1/2'
'-x+1/2,-y,-z+1/2'
'-x+3/4,-y+1/4,z+1/2'
'x+3/4,y+1/4,-z+1/2'
'x+1/2,-y+1/4,-z+3/4'
'-x+1/2,y+1/4,z+3/4'
'-x+3/4,y,-z+3/4'
'x+3/4,-y,z+3/4'
'x+1/2,y+1/2,z'
'-x+1/2,-y+1/2,-z'
'-x+3/4,-y+3/4,z'
'x+3/4,y+3/4,-z'
'x+1/2,-y+3/4,-z+1/4'
'-x+1/2,y+3/4,z+1/4'
'-x+3/4,y+1/2,-z+1/4'
'x+3/4,-y+1/2,z+1/4'
loop_
_atom_site_label
_atom_site_fract_x
_atom_site_fract_y
_atom_site_fract_z
_atom_site_occupancy
Ac1 0.049 0.284 0.465 1
In1 0.125 0.125 0.625 1
Ge1 0.000 0.000 0.000 1

3.
# Hf2Ti3Sn | the Alexandria database | PBE | optimized geometry
# size of the total moment	0.0	μB/f.u.
# total energy	-8.08	eV/atom
# formation enthalpy at 0 K	-0.14	eV/atom
data_Hf2Ti3Sn
_chemical_formula_sum 'Hf16 Ti24 Sn8'
_cell_length_a 5.999
_cell_length_b 9.603
_cell_length_c 16.400
_cell_angle_alpha 90.00
_cell_angle_beta 90.00
_cell_angle_gamma 90.00
_space_group_name_H-M_alt 'F m m m'
_space_group_IT_number 69
_space_group_name_Hall '-F 2 2'
loop_
_atom_site_label
_atom_site_fract_x
_atom_site_fract_y
_atom_site_fract_z
_atom_site_occupancy
Hf1 0.244 0.000 0.000 1
Hf2 0.250 0.250 0.250 1
Ti1 0.000 0.000 0.159 1
Ti2 0.000 0.250 0.081 1
Sn1 0.000 0.000 0.331 1

4.
# Mn4CoS5 | the Alexandria database | PBE | optimized geometry
# ΔE_f (raw)	-0.40	eV/atom
# size of the total moment	15.7	μB/f.u.
# total energy	-6.84	eV/atom
data_Mn4CoS5
_chemical_formula_sum 'Mn12 Co3 S15'
_cell_length_a 3.5587
_cell_length_b 3.5587
_cell_length_c 43.4216
_cell_angle_alpha 90.00
_cell_angle_beta 90.00
_cell_angle_gamma 120.00
_space_group_name_H-M_alt 'R -3 m'
_space_group_IT_number 166
_space_group_name_Hall '-R 3 2"'
loop_
_atom_site_label
_atom_site_fract_x
_atom_site_fract_y
_atom_site_fract_z
_atom_site_occupancy
Mn1 0.0000 0.0000 0.1033 1
Mn2 0.0000 0.0000 0.2994 1
Co1 0.0000 0.0000 0.5000 1
S1 0.0000 0.0000 0.0000 1
S2 0.0000 0.0000 0.1974 1
S3 0.0000 0.0000 0.4007 1

5.
# Sb5Ru4 | the Alexandria database | PBE | optimized geometry
# ΔE_f (raw)	0.29	eV/atom
# energy above the most stable polymorph in this dataset	0.0	kJ/mol of atoms
# size of the total moment	0.0	μB/f.u.
# total energy	-6.12	eV/atom
data_Sb5Ru4
_chemical_formula_sum 'Sb10 Ru8'
_cell_length_a 8.1438
_cell_length_b 8.1438
_cell_length_c 6.1216
_cell_angle_alpha 90.00
_cell_angle_beta 90.00
_cell_angle_gamma 120.00
_space_group_name_H-M_alt 'P 63/m c m'
_space_group_IT_number 193
_space_group_name_Hall '-P 6c 2'
loop_
_atom_site_label
_atom_site_fract_x
_atom_site_fract_y
_atom_site_fract_z
_atom_site_occupancy
Sb1 0.0000 0.2642 0.2500 1
Sb2 0.3333 0.6667 0.0000 1
Ru1 0.0000 0.0000 0.0000 1
Ru2 0.0000 0.4232 0.7500 1

6.
# TiBO2 | the Alexandria database | PBE | optimized geometry
# ΔE_f (raw)	-1.10	eV/atom
# size of the total moment	0.0	μB/f.u.
# total energy	-7.23	eV/atom
data_TiBO2
_chemical_formula_sum 'Ti3 B3 O6'
_cell_length_a 2.5473
_cell_length_b 2.5473
_cell_length_c 17.6391
_cell_angle_alpha 90.00
_cell_angle_beta 90.00
_cell_angle_gamma 120.00
_space_group_name_H-M_alt 'R -3 m'
_space_group_IT_number 166
_space_group_name_Hall '-R 3 2"'
loop_
_atom_site_label
_atom_site_fract_x
_atom_site_fract_y
_atom_site_fract_z
_atom_site_occupancy
Ti1 0.0000 0.0000 0.0000 1
B1 0.0000 0.0000 0.5000 1
O1 0.0000 0.0000 0.1168 1

7.
# CdSbO | the Alexandria database | PBE | optimized geometry
# ΔE_f (raw)	-0.60	eV/atom
# energy above the most stable polymorph in this dataset	4.6	kJ/mol of atoms
# size of the total moment	0.0	μB/f.u.
# total energy	-3.93	eV/atom
data_CdSbO
_chemical_formula_sum 'Cd2 Sb2 O2'
_cell_length_a 4.592
_cell_length_b 5.076
_cell_length_c 6.369
_cell_angle_alpha 67.95
_cell_angle_beta 74.73
_cell_angle_gamma 87.34
_space_group_name_H-M_alt 'P 1'
_space_group_IT_number 1
_space_group_name_Hall 'P 1'
loop_
_atom_site_label
_atom_site_fract_x
_atom_site_fract_y
_atom_site_fract_z
_atom_site_occupancy
Cd1 0.000 0.000 0.000 1
Cd2 0.438 0.657 0.617 1
Sb1 0.159 0.287 0.363 1
Sb2 0.714 0.526 0.978 1
O1 0.202 0.904 0.337 1
O2 0.347 0.191 0.630 1

8.
# NbCo2GeH | the Alexandria database | PBE | optimized geometry
# size of the total moment	1.6	μB/f.u.
# total energy	-6.57	eV/atom
data_NbCo2GeH
_chemical_formula_sum 'Nb1 Co2 Ge1 H1'
_cell_length_a 3.757
_cell_length_b 3.757
_cell_length_c 3.961
_cell_angle_alpha 90.00
_cell_angle_beta 90.00
_cell_angle_gamma 90.00
_space_group_name_H-M_alt 'P 4/m m m'
_space_group_IT_number 123
_space_group_name_Hall '-P 4 2'
loop_
_atom_site_label
_atom_site_fract_x
_atom_site_fract_y
_atom_site_fract_z
_atom_site_occupancy
Nb1 0.000 0.000 0.000 1
Co1 0.000 0.500 0.500 1
Ge1 0.500 0.500 0.000 1
H1 0.000 0.000 0.500 1

9.
# SrFeAg2 | the Alexandria database | PBE | optimized geometry
# energy above the most stable polymorph in this dataset	17.8	kJ/mol of atoms
# size of the total moment	2.6	μB/f.u.
# total energy	-3.60	eV/atom
# formation enthalpy at 0 K	0.37	eV/atom
data_SrFeAg2
_chemical_formula_sum 'Sr2 Fe2 Ag4'
_cell_length_a 3.575
_cell_length_b 5.114
_cell_length_c 9.595
_cell_angle_alpha 90.00
_cell_angle_beta 90.00
_cell_angle_gamma 90.00
_space_group_name_H-M_alt 'I m m m'
_space_group_IT_number 71
_space_group_name_Hall '-I 2 2'
loop_
_atom_site_label
_atom_site_fract_x
_atom_site_fract_y
_atom_site_fract_z
_atom_site_occupancy
Sr1 0.000 0.000 0.000 1
Fe1 0.000 0.000 0.500 1
Ag1 0.000 0.500 0.212 1

10.
# SrLa2MgTc | the Alexandria database | PBE | optimized geometry
# energy above the most stable polymorph in this dataset	8.0	kJ/mol of atoms
# size of the total moment	0.0	μB/f.u.
# total energy	-4.58	eV/atom
# formation enthalpy at 0 K	0.12	eV/atom
data_SrLa2MgTc
_chemical_formula_sum 'Sr1 La2 Mg1 Tc1'
_cell_length_a 5.387
_cell_length_b 5.387
_cell_length_c 6.138
_cell_angle_alpha 90.00
_cell_angle_beta 90.00
_cell_angle_gamma 90.00
_space_group_name_H-M_alt 'P 4/m m m'
_space_group_IT_number 123
_space_group_name_Hall '-P 4 2'
loop_
_atom_site_label
_atom_site_fract_x
_atom_site_fract_y
_atom_site_fract_z
_atom_site_occupancy
Sr1 0.000 0.000 0.000 1
La1 0.000 0.500 0.500 1
Mg1 0.500 0.500 0.000 1
Tc1 0.000 0.000 0.500 1